1.
Here is a relaxed ZnSi2As crystal from Alexandria. Energies are from PBE.

Geometry as extended XYZ:
```
4
Lattice="1.395 0.806 9.738 -1.395 0.806 9.738 0.000 -1.611 9.738" Properties=species:S:1:pos:R:3 pbc="T T T"
Zn 0.000 0.000 0.000
Si 0.000 0.000 7.347
Si 0.000 0.000 21.868
As 0.000 0.000 14.607
```

Values from the calculation:
- energy relative to the lowest polymorph listed for this composition (meV/atom) = 226



2.
Here is a relaxed Zn2SiAs crystal from Alexandria. Energies are from PBE.

Geometry as extended XYZ:
```
4
Lattice="1.433 0.827 9.431 -1.433 0.827 9.431 0.000 -1.655 9.431" Properties=species:S:1:pos:R:3 pbc="T T T"
Zn 0.000 0.000 7.052
Zn 0.000 0.000 21.240
Si 0.000 0.000 0.000
As 0.000 0.000 14.146
```

Values from the calculation:
- raw total energy (eV per formula unit) = -11.31



3.
Here is a relaxed Zn2SiAs crystal from Alexandria. Energies are from PBE.

Geometry as extended XYZ:
```
4
Lattice="-1.865 2.389 3.830 1.865 -2.389 3.830 1.865 2.389 -3.830" Properties=species:S:1:pos:R:3 pbc="T T T"
Zn 0.000 0.000 1.863
Zn 0.000 0.000 5.798
Si 1.865 0.000 0.000
As 0.000 2.389 0.000
```

Values from the calculation:
- raw total energy (eV per formula unit) = -11.38



4.
Here is a relaxed ZnSi2As crystal from Alexandria. Energies are from PBE.

Geometry as extended XYZ:
```
4
Lattice="2.575 0.000 0.000 0.000 3.658 0.000 0.000 0.000 7.181" Properties=species:S:1:pos:R:3 pbc="T T T"
Zn 0.000 0.000 0.000
Si 1.288 1.829 1.657
Si 1.288 1.829 5.523
As 1.288 0.000 3.590
```

Values from the calculation:
- energy relative to the lowest polymorph listed for this composition (meV/atom) = 70



5.
Here is a relaxed Zn2SiAs crystal from Alexandria. Energies are from PBE.

Geometry as extended XYZ:
```
4
Lattice="2.713 -3.307 0.000 2.713 3.307 0.000 -1.723 0.000 3.939" Properties=species:S:1:pos:R:3 pbc="T T T"
Zn 1.356 1.653 0.000
Zn 1.356 -1.653 0.000
Si -0.862 0.000 1.969
As 1.851 0.000 1.969
```

Values from the calculation:
- raw total energy (eV per formula unit) = -11.63



6.
Here is a relaxed ZnSi2As crystal from Alexandria. Energies are from PBE.

Geometry as extended XYZ:
```
8
Lattice="-2.841 2.841 5.438 2.841 -2.841 5.438 2.841 2.841 -5.438" Properties=species:S:1:pos:R:3 pbc="T T T"
Zn 0.000 0.000 0.000
Zn 0.000 2.841 2.719
Si 4.261 1.399 -1.359
Si 1.399 1.420 1.359
Si -1.420 1.442 4.078
Si 1.442 1.420 6.797
As 2.841 0.000 2.719
As 0.000 0.000 5.438
```

Values from the calculation:
- energy relative to the lowest polymorph listed for this composition (meV/atom) = 0



7.
Here is a relaxed Zn2SiAs3 crystal from Alexandria. Energies are from PBE.

Geometry as extended XYZ:
```
6
Lattice="-1.836 6.078 2.999 1.836 -6.078 2.999 1.836 6.078 -2.999" Properties=species:S:1:pos:R:3 pbc="T T T"
Zn 0.000 2.000 0.000
Zn 0.000 10.156 0.000
Si 1.836 0.000 2.994
As 0.000 0.000 1.476
As 0.000 4.094 1.299
As 0.000 8.062 1.299
```

Values from the calculation:
- raw total energy (eV per formula unit) = -22.73



8.
Here is a relaxed ZnSi2As crystal from Alexandria. Energies are from PBE.

Geometry as extended XYZ:
```
4
Lattice="4.808 0.000 0.000 0.000 1.349 5.116 0.000 -1.349 5.116" Properties=species:S:1:pos:R:3 pbc="T T T"
Zn 0.000 0.000 0.000
Si 2.404 0.000 5.162
Si 2.404 0.000 7.746
As 0.000 0.000 2.605
```

Values from the calculation:
- energy relative to the lowest polymorph listed for this composition (meV/atom) = 143



9.
Here is a relaxed Zn2SiAs2 crystal from Alexandria. Energies are from PBE.

Geometry as extended XYZ:
```
10
Lattice="7.231 0.000 0.000 0.000 7.231 0.000 0.000 0.000 3.522" Properties=species:S:1:pos:R:3 pbc="T T T"
Zn 0.894 2.722 0.000
Zn 2.722 6.338 0.000
Zn 4.509 0.894 0.000
Zn 6.338 4.509 0.000
Si 0.000 0.000 1.761
Si 3.616 3.616 1.761
As 1.392 5.008 1.761
As 2.223 1.392 1.761
As 5.008 5.839 1.761
As 5.839 2.223 1.761
```

Values from the calculation:
- energy relative to the lowest polymorph listed for this composition (meV/atom) = 0



10.
Here is a relaxed Zn2Si2As crystal from Alexandria. Energies are from PBE.

Geometry as extended XYZ:
```
10
Lattice="7.843 0.000 0.000 0.000 7.843 0.000 0.000 0.000 2.712" Properties=species:S:1:pos:R:3 pbc="T T T"
Zn 0.966 2.956 0.000
Zn 2.956 6.877 0.000
Zn 4.888 0.966 0.000
Zn 6.877 4.888 0.000
Si 1.395 5.317 1.356
Si 2.527 1.395 1.356
Si 5.317 6.448 1.356
Si 6.448 2.527 1.356
As 0.000 0.000 1.356
As 3.922 3.922 1.356
```

Values from the calculation:
- raw total energy (eV per formula unit) = -16.37



11.
Here is a relaxed ZnSi2As crystal from Alexandria. Energies are from PBE.

Geometry as extended XYZ:
```
4
Lattice="1.661 -2.166 0.000 1.661 2.166 0.000 0.000 0.000 9.145" Properties=species:S:1:pos:R:3 pbc="T T T"
Zn 0.000 0.000 0.000
Si 1.661 0.000 2.165
Si 1.661 0.000 6.981
As 0.000 0.000 4.573
```

Values from the calculation:
- energy relative to the lowest polymorph listed for this composition (meV/atom) = 233



12.
Here is a relaxed ZnSi2As crystal from Alexandria. Energies are from PBE.

Geometry as extended XYZ:
```
4
Lattice="4.294 0.000 0.000 0.000 4.294 0.000 0.000 0.000 3.614" Properties=species:S:1:pos:R:3 pbc="T T T"
Zn 0.000 0.000 0.000
Si 0.000 2.147 1.807
Si 2.147 0.000 1.807
As 2.147 2.147 0.000
```

Values from the calculation:
- energy relative to the lowest polymorph listed for this composition (meV/atom) = 238